Below is crystalline PmCoBN at its relaxed geometry, with properties calculated at the PBE level.

POSCAR file:
```
PmCoBN
1.0
-0.4813 0.6136 3.5204
2.6264 -2.3480 0.7684
5.0169 5.5212 -0.2764
Pm Co B N
2 2 2 2
Cartesian
5.4539 3.3829 0.1560
0.6356 1.2711 1.7119
2.5085 2.7606 -0.1382
3.5810 1.8934 2.0062
3.1081 0.8013 0.2853
2.9813 3.8527 1.5827
3.9923 4.9653 1.5270
2.0971 -0.3113 0.3410
```

Calculated values
The total DFT energy (no corrections) comes out at -7.6994 eV/atom.